Here is a relaxed In2SiBr crystal from Alexandria via LeMat-Bulk. Energies are from GGA-PBE.

The total energy comes out at -0.2146 Ry per atom. Its crystal system is orthorhombic. The value obtained for the total magnetic moment is 0.00 μB/f.u. As for the offset from the most stable computed form: 0.271 eV/atom. The calculation puts the formation energy from raw total energies at 224 meV per atom.

The structure belongs to space group Cmm2 (No. 35); the cell edges are 3.4293, 5.9531 and 10.0011 Å and the angles 90.00°, 90.00° and 90.00°. The distinct sites, in fractional coordinates, are In at (0.0000, 0.0000, 0.0000), In at (0.0000, 0.5000, 0.2753), Si at (0.0000, 0.0000, 0.5040) and Br at (0.0000, 0.5000, 0.7073).